# 1
This record from Alexandria describes a geometry-optimized HfTe2F2 structure. The functional is PBE-GGA.

Cell and atoms, written as POSCAR:
```
HfTe2F2
1.0
7.839 0.000 0.000
0.000 7.839 0.000
0.000 0.000 3.166
Hf Te F
2 4 4
Direct
0.000 0.000 0.000 Hf
0.500 0.500 0.000 Hf
0.129 0.371 0.000 Te
0.371 0.871 0.000 Te
0.629 0.129 0.000 Te
0.871 0.629 0.000 Te
0.187 0.687 0.500 F
0.313 0.187 0.500 F
0.687 0.813 0.500 F
0.813 0.313 0.500 F
```

* energy above the lowest structure with this stoichiometry: 1.47 eV per formula unit
* SG: P4/mbm, No. 127
* DOS(E_F): 0.67 states/eV per atom

# 2
This record from Alexandria describes a geometry-optimized Pr4Ag3Rh structure. The functional is PBE-GGA.

Cell and atoms, written as POSCAR:
```
Pr4Ag3Rh
1.0
3.694 0.000 0.000
0.000 3.694 0.000
0.000 0.000 15.162
Pr Ag Rh
4 3 1
Direct
0.000 0.000 0.111 Pr
0.000 0.000 0.370 Pr
0.000 0.000 0.630 Pr
0.000 0.000 0.889 Pr
0.500 0.500 0.244 Ag
0.500 0.500 0.500 Ag
0.500 0.500 0.756 Ag
0.500 0.500 0.000 Rh
```

* ΔH_f (0 K): -339 meV per atom
* SG: P4/mmm, No. 123
* DOS(E_F): 0.84 states/eV per atom